# 1
This record from the Alexandria database describes SrLaOs2 after structural relaxation. The functional is PBE-GGA.

DOS(E_F): 2.46 states/eV/cell
total magnetic moment: 0.00 Bohr magnetons per cell
calculated formation energy: 0.931 eV/atom
energy above the lowest structure with this stoichiometry: 20.25 kcal/mol of atoms

Unit cell a=9.457 b=9.457 c=9.457 alpha=20.44 beta=20.44 gamma=20.44
Positions (direct):
Os 0.004 0.004 0.004
Os 0.496 0.496 0.496
Sr 0.250 0.250 0.250
La 0.750 0.750 0.750


# 2
This record from the Alexandria database describes SrLaTe2Os after structural relaxation. The functional is PBE-GGA.

DOS(E_F): 4.88 states/eV/cell
total magnetic moment: 0.00 Bohr magnetons per cell
uncorrected formation energy: 0.4 eV/f.u.

Unit cell a=5.463 b=5.140 c=5.463 alpha=90.00 beta=90.00 gamma=90.00
Positions (direct):
Sr 0.000 0.500 0.000
La 0.500 0.500 0.500
Os 0.000 0.000 0.000
Te 0.500 0.000 0.000
Te 0.000 0.000 0.500


# 3
This record from the Alexandria database describes SrLa2TlOs after structural relaxation. The functional is PBE-GGA.

DOS(E_F): 2.97 states/eV/cell
total magnetic moment: 0.00 Bohr magnetons per cell
calculated formation energy: -0.045 eV/atom
energy above the lowest structure with this stoichiometry: 0.36 kcal/mol of atoms

Unit cell a=5.575 b=5.575 c=5.540 alpha=90.00 beta=90.00 gamma=90.00
Positions (direct):
Sr 0.500 0.500 0.500
Os 0.000 0.000 0.000
La 0.500 0.000 0.000
La 0.000 0.500 0.000
Tl 0.000 0.000 0.500


# 4
This record from the Alexandria database describes SrLa2TlOs after structural relaxation. The functional is PBE-GGA.

DOS(E_F): 6.02 states/eV/cell
total magnetic moment: 0.00 Bohr magnetons per cell
calculated formation energy: -0.061 eV/atom
energy above the lowest structure with this stoichiometry: 0.00 kcal/mol of atoms

Unit cell a=5.499 b=5.499 c=5.965 alpha=90.00 beta=90.00 gamma=90.00
Positions (direct):
Os 0.000 0.000 0.000
Sr 0.000 0.000 0.500
La 0.500 0.000 0.000
La 0.000 0.500 0.000
Tl 0.500 0.500 0.500


# 5
This record from the Alexandria database describes Sr2LaOsW after structural relaxation. The functional is PBE-GGA.

DOS(E_F): 8.70 states/eV/cell
total magnetic moment: 2.23 Bohr magnetons per cell
calculated formation energy: 1.720 eV/atom

Unit cell a=5.716 b=5.280 c=5.716 alpha=90.00 beta=90.00 gamma=90.00
Each line ends with the local moment (μB).
Positions (direct):
La 0.000 0.500 0.000  -0.04
Os 0.500 0.500 0.500  1.99
Sr 0.000 0.000 0.500  -0.02
Sr 0.500 0.000 0.000  0.00
W 0.000 0.000 0.000  0.21


# 6
This record from the Alexandria database describes SrLaYOs2 after structural relaxation. The functional is PBE-GGA.

DOS(E_F): 6.97 states/eV/cell
total magnetic moment: 0.24 Bohr magnetons per cell
calculated formation energy: 1.450 eV/atom

Unit cell a=5.131 b=5.461 c=5.131 alpha=90.00 beta=90.00 gamma=90.00
Each line ends with the local moment (μB).
Positions (direct):
Os 0.000 0.000 0.500  0.19
Os 0.500 0.000 0.000  0.29
Sr 0.500 0.500 0.500  -0.01
La 0.000 0.500 0.000  -0.10
Y 0.000 0.000 0.000  -0.05


We obtain uncorrected energy values of -25.34 -23.72 -25.36 -25.44 -23.88 -28.28 eV per cell for the records listed above, in that order.